Computed, not measured: a relaxed structure of USiW2 at the PBE level of DFT.

Unit cell a=2.862 b=2.862 c=9.753 alpha=81.56 beta=81.56 gamma=60.00
Fractional positions:
Si (0.500, 0.500, 0.500)
U (0.000, 0.000, 0.000)
W (0.096, 0.096, 0.713)
W (0.904, 0.904, 0.287)

Calculated values
Total DFT energy (no corrections) in eV per atom: -10.10
Space-group type: R-3m (166)

***

Computed, not measured: a relaxed structure of RuS2I at the PBE level of DFT.

Unit cell a=12.719 b=12.719 c=12.719 alpha=13.52 beta=13.52 gamma=13.52
Fractional positions:
I (0.500, 0.500, 0.500)
Ru (0.000, 0.000, 0.000)
S (0.941, 0.941, 0.941)
S (0.059, 0.059, 0.059)

Calculated values
ΔE to the lowest computed polymorph in meV per atom: 733
Space-group type: R-3m (166)

***

Computed, not measured: a relaxed structure of BaTaCdC2 at the PBE level of DFT.

Unit cell a=4.409 b=5.330 c=4.409 alpha=90.00 beta=90.00 gamma=90.00
Fractional positions:
C (0.000, 0.000, 0.500)
C (0.500, 0.000, 0.000)
Cd (0.000, 0.500, 0.000)
Ba (0.500, 0.500, 0.500)
Ta (0.000, 0.000, 0.000)

Calculated values
Formation enthalpy at 0 K in meV/atom: 860
Space-group type: P4/mmm (123)

***

Computed, not measured: a relaxed structure of Cd3In3Sn at the PBE level of DFT.

Unit cell a=9.681 b=9.681 c=10.401 alpha=111.08 beta=111.08 gamma=107.95
Fractional positions:
Cd (0.595, 0.790, 0.610)
Cd (0.390, 0.189, 0.006)
Cd (0.000, 0.415, 0.194)
Cd (0.184, 0.990, 0.382)
Cd (0.800, 0.800, 0.188)
Cd (0.800, 0.208, 0.808)
Cd (0.189, 0.390, 0.006)
Cd (0.415, 0.000, 0.194)
Cd (0.599, 0.599, 0.799)
Cd (0.990, 0.184, 0.382)
Cd (0.208, 0.800, 0.808)
Cd (0.790, 0.595, 0.610)
In (0.312, 0.737, 0.304)
In (0.681, 0.421, 0.995)
In (0.579, 0.579, 0.287)
In (0.415, 0.998, 0.700)
In (0.560, 0.263, 0.565)
In (0.421, 0.681, 0.995)
In (0.995, 0.721, 0.441)
In (0.263, 0.560, 0.565)
In (0.737, 0.312, 0.304)
In (0.271, 0.271, 0.712)
In (0.721, 0.995, 0.441)
In (0.998, 0.415, 0.700)
Sn (0.016, 0.822, 0.999)
Sn (0.256, 0.256, 0.258)
Sn (0.822, 0.016, 0.999)
Sn (0.994, 0.994, 0.747)

Calculated values
Formation enthalpy at 0 K in meV/atom: 45
ΔE to the lowest computed polymorph in meV per atom: 0
Space-group type: Cm (8)

***

Computed, not measured: a relaxed structure of Pm3Si2Br at the PBE level of DFT.

Unit cell a=3.569 b=5.406 c=9.162 alpha=107.16 beta=101.23 gamma=90.00
Fractional positions:
Pm (0.000, 0.500, 0.000)
Pm (0.824, 0.824, 0.648)
Pm (0.176, 0.176, 0.352)
Si (0.651, 0.651, 0.302)
Si (0.349, 0.349, 0.698)
Br (0.000, 0.000, 0.000)

Calculated values
Total DFT energy (no corrections) in eV per atom: -5.10
Space-group type: Immm (71)

***

Computed, not measured: a relaxed structure of SrLi2GaAg at the PBE level of DFT.

Unit cell a=5.023 b=5.023 c=4.957 alpha=90.00 beta=90.00 gamma=90.00
Fractional positions:
Sr (0.500, 0.500, 0.500)
Ga (0.000, 0.000, 0.500)
Ag (0.000, 0.000, 0.000)
Li (0.000, 0.500, 0.000)
Li (0.500, 0.000, 0.000)

Calculated values
Formation enthalpy at 0 K in meV/atom: -114
ΔE to the lowest computed polymorph in meV per atom: 15
Space-group type: P4/mmm (123)